DFT (GGA-PBE) results for an optimized crystal structure of AgP2AuS.

Output
**ΔE to the lowest computed polymorph**: 0.0 meV/atom
**ΔE_f (raw)**: 1.068 eV per atom
**DOS at the Fermi energy**: 0.691 states/eV per atom
**Symmetry**: P4/mmm, No. 123

Unit cell a=4.7990 b=4.7990 c=5.0613 alpha=90.00 beta=90.00 gamma=90.00
Positions (direct):
Ag1 0.0000 0.0000 0.0000
P1 0.0000 0.5000 0.5000
P2 0.5000 0.0000 0.5000
Au1 0.5000 0.5000 0.5000
S1 0.5000 0.5000 0.0000

---

DFT (GGA-PBE) results for an optimized crystal structure of Th3TcTeSe.

Output
**ΔE_f (raw)**: -0.768 eV per atom
**DOS at the Fermi energy**: 0.665 states/eV per atom
**Symmetry**: P2_1/m, No. 11

Unit cell a=8.1617 b=4.2196 c=10.3527 alpha=90.00 beta=113.11 gamma=90.00
Positions (direct):
Th1 0.1574 0.2500 0.1375
Th2 0.2750 0.7500 0.4805
Th3 0.3146 0.7500 0.9031
Th4 0.6854 0.2500 0.0969
Th5 0.7250 0.2500 0.5195
Th6 0.8426 0.7500 0.8625
Tc1 0.0562 0.2500 0.8221
Tc2 0.9438 0.7500 0.1779
Te1 0.4906 0.2500 0.7257
Te2 0.5094 0.7500 0.2743
Se1 0.0094 0.7500 0.6316
Se2 0.9906 0.2500 0.3684

---

DFT (GGA-PBE) results for an optimized crystal structure of Rb2HgSeI.

Output
**ΔE_f (raw)**: -0.936 eV per atom
**DOS at the Fermi energy**: 0.257 states/eV per atom
**Symmetry**: P4/mmm, No. 123

Unit cell a=6.7009 b=6.7009 c=5.3743 alpha=90.00 beta=90.00 gamma=90.00
Positions (direct):
Rb1 0.0000 0.5000 0.0000
Rb2 0.5000 0.0000 0.0000
Hg1 0.0000 0.0000 0.5000
Se1 0.0000 0.0000 0.0000
I1 0.5000 0.5000 0.5000

---

DFT (GGA-PBE) results for an optimized crystal structure of Pm2SbPPd6.

Output
**ΔE_f (raw)**: -0.750 eV per atom
**DOS at the Fermi energy**: 0.345 states/eV per atom
**Symmetry**: Pmmn, No. 59

Unit cell a=5.5734 b=8.8608 c=8.3362 alpha=90.00 beta=90.00 gamma=90.00
Positions (direct):
Pm1 0.2500 0.0033 0.2424
Pm2 0.2500 0.4967 0.2424
Pm3 0.7500 0.5033 0.7576
Pm4 0.7500 0.9967 0.7576
Sb1 0.2500 0.7500 0.7859
Sb2 0.7500 0.2500 0.2141
P1 0.2500 0.2500 0.7293
P2 0.7500 0.7500 0.2707
Pd1 0.0017 0.7500 0.5020
Pd2 0.0053 0.2500 0.9542
Pd3 0.2500 0.0034 0.6146
Pd4 0.2500 0.4966 0.6146
Pd5 0.4947 0.2500 0.9542
Pd6 0.4983 0.7500 0.5020
Pd7 0.5017 0.2500 0.4980
Pd8 0.5053 0.7500 0.0458
Pd9 0.7500 0.5034 0.3854
Pd10 0.7500 0.9966 0.3854
Pd11 0.9947 0.7500 0.0458
Pd12 0.9983 0.2500 0.4980

---

DFT (GGA-PBE) results for an optimized crystal structure of BeRu2Pb.

Output
**ΔE to the lowest computed polymorph**: 149.4 meV/atom
**DOS at the Fermi energy**: 1.147 states/eV per atom
**Symmetry**: P4/mmm, No. 123
**Formation energy**: 440 meV per atom

Unit cell a=4.3455 b=4.3455 c=3.2177 alpha=90.00 beta=90.00 gamma=90.00
Positions (direct):
Be1 0.0000 0.0000 0.0000
Ru1 0.0000 0.5000 0.5000
Ru2 0.5000 0.0000 0.5000
Pb1 0.5000 0.5000 0.0000

---

DFT (GGA-PBE) results for an optimized crystal structure of Hf2VI.

Output
**ΔE to the lowest computed polymorph**: 146.8 meV/atom
**ΔE_f (raw)**: 0.734 eV per atom
**DOS at the Fermi energy**: 1.176 states/eV per atom
**Symmetry**: I-42d, No. 122

Unit cell a=10.7323 b=10.7323 c=10.7323 alpha=157.51 beta=157.51 gamma=32.02
Positions (direct):
Hf1 0.1211 0.6250 0.9961
Hf2 0.3750 0.3711 0.4961
Hf3 0.6289 0.1250 0.0039
Hf4 0.8750 0.8789 0.5039
V1 0.0000 0.0000 0.0000
V2 0.7500 0.2500 0.5000
I1 0.2500 0.7500 0.5000
I2 0.5000 0.5000 0.0000

---

DFT (GGA-PBE) results for an optimized crystal structure of LiZrIr.

Output
**ΔE to the lowest computed polymorph**: 0.0 meV/atom
**DOS at the Fermi energy**: 0.655 states/eV per atom
**Symmetry**: I4mm, No. 107
**Formation energy**: -399 meV per atom

Unit cell a=4.9241 b=4.9241 c=4.9241 alpha=139.05 beta=139.05 gamma=59.30
Positions (direct):
Li1 0.0000 0.0000 0.0000
Zr1 0.3110 0.3110 0.0000
Ir1 0.6628 0.6628 0.0000

---

DFT (GGA-PBE) results for an optimized crystal structure of SmU2Ru5.

Output
**DOS at the Fermi energy**: 0.801 states/eV per atom
**Symmetry**: Immm, No. 71
**Formation energy**: -262 meV per atom

Unit cell a=6.9062 b=6.9062 c=6.9062 alpha=142.58 beta=130.04 gamma=64.05
Positions (direct):
Sm1 0.0000 0.0000 0.0000
U1 0.2710 0.7710 0.5000
U2 0.7290 0.2290 0.5000
Ru1 0.1523 0.3825 0.7698
Ru2 0.3873 0.6175 0.7698
Ru3 0.5000 0.0000 0.5000
Ru4 0.6127 0.3825 0.2302
Ru5 0.8477 0.6175 0.2302